Co2IrBr | GGA-PBEsol | relaxed

Unit cell a=2.7514 b=4.4301 c=4.4301 alpha=90.00 beta=90.00 gamma=90.00
Element x y z (fractional)
Co  0.0000  0.0000  0.5000
Co  0.0000  0.5000  0.0000
Ir  0.5000  0.5000  0.5000
Br  0.5000  0.0000  0.0000

Results
Electronic total energy, eV/atom: -6.016
Distance to the lowest polymorph of the same formula, eV/atom: 0.000
Raw formation energy, eV/atom: 0.776
Spin magnetization, Bohr magnetons per cell: 3.4
Space-group type: No. 123